The following is a PBE calculation of an optimized crystal structure of Si2HgCl, from the Alexandria database.

Volume ... 19.45 A^3/atom
Space-group type ... Fm-3m (225)
E_form (uncorrected) ... 0.617 eV/atom
Offset from the most stable computed form ... 579.7 meV per atom
Magnetization ... 0.00 μB per cell
Final energy ... -10.53 eV per formula unit

Cell: 4.792 4.792 4.792 Å, 60.00 60.00 60.00°
Fractional positions:
1 Si 0.250 0.250 0.250
2 Si 0.750 0.750 0.750
3 Hg 0.000 0.000 0.000
4 Cl 0.500 0.500 0.500

---

The following is a PBE calculation of an optimized crystal structure of SiHg2Cl, from the Alexandria database.

Volume ... 24.54 A^3/atom
Space-group type ... C2/m (12)
E_form (uncorrected) ... 0.158 eV/atom
Offset from the most stable computed form ... 154.6 meV per atom
Magnetization ... 0.00 μB per cell
Final energy ... -7.24 eV per formula unit

Cell: 5.038 5.038 4.957 Å, 107.66 107.66 111.89°
Fractional positions:
1 Si 0.000 0.000 0.000
2 Hg 0.000 0.500 0.500
3 Hg 0.500 0.000 0.500
4 Cl 0.500 0.500 0.000

---

The following is a PBE calculation of an optimized crystal structure of SiHg2Cl, from the Alexandria database.

Volume ... 24.26 A^3/atom
Space-group type ... P4mm (99)
E_form (uncorrected) ... 0.203 eV/atom
Offset from the most stable computed form ... 199.5 meV per atom
Magnetization ... 0.00 μB per cell
Final energy ... -7.06 eV per formula unit

Cell: 3.359 3.359 8.602 Å, 90.00 90.00 90.00°
Fractional positions:
1 Si 0.000 0.000 0.000
2 Hg 0.000 0.000 0.505
3 Hg 0.500 0.500 0.789
4 Cl 0.500 0.500 0.176

---

The following is a PBE calculation of an optimized crystal structure of Si2HgCl, from the Alexandria database.

Volume ... 27.22 A^3/atom
Space-group type ... I-42d (122)
E_form (uncorrected) ... 0.663 eV/atom
Offset from the most stable computed form ... 625.5 meV per atom
Magnetization ... 0.00 μB per cell
Final energy ... -10.34 eV per formula unit

Cell: 7.726 7.726 7.726 Å, 136.23 136.23 63.63°
Fractional positions:
1 Si 0.104 0.625 0.979
2 Si 0.375 0.354 0.479
3 Si 0.646 0.125 0.021
4 Si 0.875 0.896 0.521
5 Hg 0.000 0.000 0.000
6 Hg 0.750 0.250 0.500
7 Cl 0.250 0.750 0.500
8 Cl 0.500 0.500 0.000

---

The following is a PBE calculation of an optimized crystal structure of SiHg2Cl, from the Alexandria database.

Volume ... 23.93 A^3/atom
Space-group type ... Pmmm (47)
E_form (uncorrected) ... 0.072 eV/atom
Offset from the most stable computed form ... 68.0 meV per atom
Magnetization ... 0.00 μB per cell
Final energy ... -7.59 eV per formula unit

Cell: 3.395 5.090 5.539 Å, 90.00 90.00 90.00°
Fractional positions:
1 Si 0.000 0.000 0.000
2 Hg 0.000 0.000 0.500
3 Hg 0.500 0.500 0.500
4 Cl 0.000 0.500 0.000

---

The following is a PBE calculation of an optimized crystal structure of ZnSiHgCl2, from the Alexandria database.

Volume ... 25.35 A^3/atom
Space-group type ... P4/mmm (123)
E_form (uncorrected) ... -0.165 eV/atom
Magnetization ... 0.00 μB per cell
Final energy ... -11.52 eV per formula unit

Cell: 4.900 4.900 5.280 Å, 90.00 90.00 90.00°
Fractional positions:
1 Zn 0.000 0.000 0.000
2 Si 0.500 0.500 0.500
3 Hg 0.500 0.500 0.000
4 Cl 0.000 0.500 0.500
5 Cl 0.500 0.000 0.500

---

The following is a PBE calculation of an optimized crystal structure of Zr2SiHgCl, from the Alexandria database.

Volume ... 25.01 A^3/atom
Space-group type ... P4/mmm (123)
E_form (uncorrected) ... 0.369 eV/atom
Magnetization ... 0.00 μB per cell
Final energy ... -22.82 eV per formula unit

Cell: 5.132 5.132 4.747 Å, 90.00 90.00 90.00°
Fractional positions:
1 Zr 0.000 0.500 0.000
2 Zr 0.500 0.000 0.000
3 Si 0.000 0.000 0.000
4 Hg 0.500 0.500 0.500
5 Cl 0.000 0.000 0.500

---

The following is a PBE calculation of an optimized crystal structure of Sm2HgCl, from the Alexandria database.

Volume ... 25.19 A^3/atom
Space-group type ... P4/mmm (123)
E_form (uncorrected) ... -0.789 eV/atom
Offset from the most stable computed form ... 81.2 meV per atom
Magnetization ... 0.00 μB per cell
Final energy ... -14.74 eV per formula unit

Cell: 3.465 3.465 8.393 Å, 90.00 90.00 90.00°
Fractional positions:
1 Sm 0.000 0.000 0.249
2 Sm 0.000 0.000 0.751
3 Hg 0.500 0.500 0.000
4 Cl 0.500 0.500 0.500

---

The following is a PBE calculation of an optimized crystal structure of Sm4Hg2Cl, from the Alexandria database.

Volume ... 30.03 A^3/atom
Space-group type ... I4/mmm (139)
E_form (uncorrected) ... -0.525 eV/atom
Magnetization ... 0.00 μB per cell
Final energy ... -25.00 eV per formula unit

Cell: 8.430 8.430 8.430 Å, 143.55 143.55 52.51°
Fractional positions:
1 Sm 0.000 0.500 0.500
2 Sm 0.188 0.188 0.000
3 Sm 0.500 0.000 0.500
4 Sm 0.812 0.812 0.000
5 Hg 0.384 0.384 0.000
6 Hg 0.616 0.616 0.000
7 Cl 0.000 0.000 0.000

---

The following is a PBE calculation of an optimized crystal structure of SmHgCl3, from the Alexandria database.

Volume ... 32.46 A^3/atom
Space-group type ... Pm-3m (221)
E_form (uncorrected) ... -1.719 eV/atom
Magnetization ... 0.00 μB per cell
Final energy ... -19.15 eV per formula unit

Cell: 5.455 5.455 5.455 Å, 90.00 90.00 90.00°
Fractional positions:
1 Sm 0.000 0.000 0.000
2 Hg 0.500 0.500 0.500
3 Cl 0.000 0.000 0.500
4 Cl 0.000 0.500 0.000
5 Cl 0.500 0.000 0.000

---

The following is a PBE calculation of an optimized crystal structure of SmHgCl2, from the Alexandria database.

Volume ... 33.66 A^3/atom
Space-group type ... R-3m (166)
E_form (uncorrected) ... -1.441 eV/atom
Magnetization ... 0.00 μB per cell
Final energy ... -14.48 eV per formula unit

Cell: 10.967 10.967 10.967 Å, 19.98 19.98 19.98°
Fractional positions:
1 Sm 0.000 0.000 0.000
2 Hg 0.500 0.500 0.500
3 Cl 0.280 0.280 0.280
4 Cl 0.720 0.720 0.720

---

The following is a PBE calculation of an optimized crystal structure of SmHg2Cl8, from the Alexandria database.

Volume ... 31.98 A^3/atom
Space-group type ... C2/m (12)
E_form (uncorrected) ... -1.012 eV/atom
Magnetization ... 0.97 μB per cell
Final energy ... -31.22 eV per formula unit

Cell: 7.945 7.945 7.125 Å, 99.03 99.03 52.61°
Fractional positions:
1 Sm 0.000 0.000 0.000
2 Hg 0.217 0.217 0.739
3 Hg 0.783 0.783 0.261
4 Cl 0.123 0.123 0.334
5 Cl 0.140 0.630 0.145
6 Cl 0.370 0.370 0.652
7 Cl 0.370 0.860 0.855
8 Cl 0.630 0.140 0.145
9 Cl 0.630 0.630 0.348
10 Cl 0.860 0.370 0.855
11 Cl 0.877 0.877 0.666

---

The following is a PBE calculation of an optimized crystal structure of Sm2HgCl, from the Alexandria database.

Volume ... 26.95 A^3/atom
Space-group type ... R-3m (166)
E_form (uncorrected) ... -0.870 eV/atom
Offset from the most stable computed form ... 0.0 meV per atom
Magnetization ... 0.00 μB per cell
Final energy ... -15.07 eV per formula unit

Cell: 7.470 7.470 7.470 Å, 32.63 32.63 32.63°
Fractional positions:
1 Sm 0.243 0.243 0.243
2 Sm 0.757 0.757 0.757
3 Hg 0.000 0.000 0.000
4 Cl 0.500 0.500 0.500

---

The following is a PBE calculation of an optimized crystal structure of Sm2HgCl, from the Alexandria database.

Volume ... 26.72 A^3/atom
Space-group type ... R3m (160)
E_form (uncorrected) ... -0.868 eV/atom
Offset from the most stable computed form ... 2.3 meV per atom
Magnetization ... 0.00 μB per cell
Final energy ... -15.06 eV per formula unit

Cell: 9.356 9.356 9.356 Å, 22.69 22.69 22.69°
Fractional positions:
1 Sm 0.000 0.000 0.000
2 Sm 0.159 0.159 0.159
3 Hg 0.580 0.580 0.580
4 Cl 0.746 0.746 0.746

---

The following is a PBE calculation of an optimized crystal structure of SmTlHgCl6, from the Alexandria database.

Volume ... 33.74 A^3/atom
Space-group type ... P-31c (163)
E_form (uncorrected) ... -1.432 eV/atom
Magnetization ... 0.00 μB per cell
Final energy ... -31.36 eV per formula unit

Cell: 7.089 7.089 13.956 Å, 90.00 90.00 120.00°
Fractional positions:
1 Sm 0.333 0.667 0.250
2 Sm 0.667 0.333 0.750
3 Tl 0.000 0.000 0.000
4 Tl 0.000 0.000 0.500
5 Hg 0.333 0.667 0.750
6 Hg 0.667 0.333 0.250
7 Cl 0.000 0.372 0.138
8 Cl 0.000 0.372 0.638
9 Cl 0.000 0.628 0.362
10 Cl 0.000 0.628 0.862
11 Cl 0.372 0.000 0.138
12 Cl 0.372 0.000 0.638
13 Cl 0.372 0.372 0.362
14 Cl 0.372 0.372 0.862
15 Cl 0.628 0.000 0.362
16 Cl 0.628 0.000 0.862
17 Cl 0.628 0.628 0.138
18 Cl 0.628 0.628 0.638

---

The following is a PBE calculation of an optimized crystal structure of SnHg3Cl8, from the Alexandria database.

Volume ... 37.30 A^3/atom
Space-group type ... Cm (8)
E_form (uncorrected) ... -0.663 eV/atom
Magnetization ... 0.00 μB per cell
Final energy ... -27.64 eV per formula unit

Cell: 9.974 9.974 8.382 Å, 104.62 104.62 33.81°
Fractional positions:
1 Sn 0.000 0.000 0.000
2 Hg 0.120 0.120 0.619
3 Hg 0.350 0.350 0.036
4 Hg 0.416 0.416 0.603
5 Cl 0.114 0.114 0.340
6 Cl 0.151 0.151 0.907
7 Cl 0.308 0.308 0.718
8 Cl 0.313 0.313 0.289
9 Cl 0.487 0.487 0.010
10 Cl 0.533 0.533 0.546
11 Cl 0.872 0.872 0.055
12 Cl 0.940 0.940 0.681

---

The following is a PBE calculation of an optimized crystal structure of SnHgCl6, from the Alexandria database.

Volume ... 28.44 A^3/atom
Space-group type ... P-1 (2)
E_form (uncorrected) ... -0.726 eV/atom
Magnetization ... 0.00 μB per cell
Final energy ... -21.19 eV per formula unit

Cell: 6.451 6.642 6.813 Å, 95.03 112.02 117.53°
Fractional positions:
1 Sn 0.000 0.000 0.000
2 Hg 0.000 0.500 0.500
3 Cl 0.167 0.424 0.257
4 Cl 0.177 0.221 0.778
5 Cl 0.427 0.058 0.229
6 Cl 0.573 0.942 0.771
7 Cl 0.823 0.779 0.222
8 Cl 0.833 0.576 0.743

---

The following is a PBE calculation of an optimized crystal structure of SnHgCl4, from the Alexandria database.

Volume ... 31.89 A^3/atom
Space-group type ... Cm (8)
E_form (uncorrected) ... -0.768 eV/atom
Offset from the most stable computed form ... 30.7 meV per atom
Magnetization ... 0.00 μB per cell
Final energy ... -16.30 eV per formula unit

Cell: 6.877 6.877 7.219 Å, 101.81 101.81 35.02°
Fractional positions:
1 Sn 0.000 0.000 0.000
2 Hg 0.501 0.501 0.501
3 Cl 0.113 0.113 0.392
4 Cl 0.384 0.384 0.141
5 Cl 0.617 0.617 0.862
6 Cl 0.888 0.888 0.612

---

The following is a PBE calculation of an optimized crystal structure of Sn3HgCl6, from the Alexandria database.

Volume ... 34.96 A^3/atom
Space-group type ... Cmc2_1 (36)
E_form (uncorrected) ... -0.879 eV/atom
Magnetization ... 0.00 μB per cell
Final energy ... -32.18 eV per formula unit

Cell: 9.122 9.122 8.924 Å, 90.00 90.00 109.69°
Fractional positions:
1 Sn 0.092 0.908 0.500
2 Sn 0.185 0.406 0.625
3 Sn 0.406 0.185 0.125
4 Sn 0.594 0.815 0.625
5 Sn 0.815 0.594 0.125
6 Sn 0.908 0.092 0.000
7 Hg 0.168 0.832 0.013
8 Hg 0.832 0.168 0.513
9 Cl 0.044 0.411 0.868
10 Cl 0.138 0.213 0.216
11 Cl 0.213 0.138 0.716
12 Cl 0.243 0.757 0.643
13 Cl 0.411 0.044 0.368
14 Cl 0.469 0.531 0.746
15 Cl 0.531 0.469 0.246
16 Cl 0.589 0.956 0.868
17 Cl 0.757 0.243 0.143
18 Cl 0.787 0.862 0.216
19 Cl 0.862 0.787 0.716
20 Cl 0.956 0.589 0.368

---

The following is a PBE calculation of an optimized crystal structure of Sn2HgCl, from the Alexandria database.

Volume ... 25.08 A^3/atom
Space-group type ... Fm-3m (225)
E_form (uncorrected) ... -0.076 eV/atom
Offset from the most stable computed form ... 84.7 meV per atom
Magnetization ... 0.00 μB per cell
Final energy ... -10.46 eV per formula unit

Cell: 5.216 5.216 5.216 Å, 60.00 60.00 60.00°
Fractional positions:
1 Sn 0.250 0.250 0.250
2 Sn 0.750 0.750 0.750
3 Hg 0.000 0.000 0.000
4 Cl 0.500 0.500 0.500

---

The following is a PBE calculation of an optimized crystal structure of Sn2Hg3Cl4, from the Alexandria database.

Volume ... 38.51 A^3/atom
Space-group type ... C2/c (15)
E_form (uncorrected) ... -0.623 eV/atom
Magnetization ... 0.00 μB per cell
Final energy ... -21.90 eV per formula unit

Cell: 10.930 10.930 5.942 Å, 94.29 94.29 100.50°
Fractional positions:
1 Sn 0.079 0.352 0.411
2 Sn 0.352 0.079 0.911
3 Sn 0.648 0.921 0.089
4 Sn 0.921 0.648 0.589
5 Hg 0.053 0.947 0.750
6 Hg 0.369 0.426 0.357
7 Hg 0.426 0.369 0.857
8 Hg 0.574 0.631 0.143
9 Hg 0.631 0.574 0.643
10 Hg 0.947 0.053 0.250
11 Cl 0.102 0.289 0.806
12 Cl 0.147 0.597 0.547
13 Cl 0.289 0.102 0.306
14 Cl 0.403 0.853 0.953
15 Cl 0.597 0.147 0.047
16 Cl 0.711 0.898 0.694
17 Cl 0.853 0.403 0.453
18 Cl 0.898 0.711 0.194

---

The following is a PBE calculation of an optimized crystal structure of Sn2HgCl, from the Alexandria database.

Volume ... 28.38 A^3/atom
Space-group type ... I-42d (122)
E_form (uncorrected) ... -0.127 eV/atom
Offset from the most stable computed form ... 34.3 meV per atom
Magnetization ... 0.00 μB per cell
Final energy ... -10.66 eV per formula unit

Cell: 11.264 11.264 11.264 Å, 156.50 156.50 33.48°
Fractional positions:
1 Sn 0.110 0.625 0.985
2 Sn 0.375 0.360 0.485
3 Sn 0.640 0.125 0.015
4 Sn 0.875 0.890 0.515
5 Hg 0.250 0.750 0.500
6 Hg 0.500 0.500 0.000
7 Cl 0.000 0.000 0.000
8 Cl 0.750 0.250 0.500

---

The following is a PBE calculation of an optimized crystal structure of Sn2Hg2Cl7, from the Alexandria database.

Volume ... 39.19 A^3/atom
Space-group type ... C2/m (12)
E_form (uncorrected) ... -0.689 eV/atom
Magnetization ... 0.00 μB per cell
Final energy ... -29.11 eV per formula unit

Cell: 7.081 7.081 9.207 Å, 98.21 98.21 105.99°
Fractional positions:
1 Sn 0.177 0.823 0.000
2 Sn 0.823 0.177 0.000
3 Hg 0.316 0.316 0.677
4 Hg 0.684 0.684 0.323
5 Cl 0.021 0.379 0.796
6 Cl 0.171 0.171 0.150
7 Cl 0.379 0.021 0.796
8 Cl 0.500 0.500 0.500
9 Cl 0.621 0.979 0.204
10 Cl 0.829 0.829 0.850
11 Cl 0.979 0.621 0.204

---

The following is a PBE calculation of an optimized crystal structure of SnHg2Cl5, from the Alexandria database.

Volume ... 36.43 A^3/atom
Space-group type ... P1 (1)
E_form (uncorrected) ... -0.666 eV/atom
Magnetization ... 0.00 μB per cell
Final energy ... -19.17 eV per formula unit

Cell: 5.430 7.690 7.862 Å, 101.43 104.50 106.58°
Fractional positions:
1 Sn 0.000 0.000 0.000
2 Hg 0.140 0.457 0.458
3 Hg 0.707 0.539 0.539
4 Cl 0.068 0.039 0.325
5 Cl 0.090 0.337 0.054
6 Cl 0.434 0.995 0.996
7 Cl 0.774 0.662 0.944
8 Cl 0.799 0.959 0.675

---

The following is a PBE calculation of an optimized crystal structure of Sn2HgCl, from the Alexandria database.

Volume ... 36.47 A^3/atom
Space-group type ... R-3m (166)
E_form (uncorrected) ... -0.161 eV/atom
Offset from the most stable computed form ... 0.0 meV per atom
Magnetization ... 0.00 μB per cell
Final energy ... -10.80 eV per formula unit

Cell: 8.211 8.211 8.211 Å, 32.97 32.97 32.97°
Fractional positions:
1 Sn 0.115 0.115 0.115
2 Sn 0.885 0.885 0.885
3 Hg 0.500 0.500 0.500
4 Cl 0.000 0.000 0.000